No. 1
A relaxed structure of RbAl3B. Source: Alexandria via LeMat-Bulk, functional PBE-GGA.

Lattice parameters (Å, degrees): 6.022 6.022 6.022 90.00 90.00 90.00
Sites, in units of the cell vectors:
Rb  0.000  0.000  0.000
Al  0.000  0.000  0.500
Al  0.000  0.500  0.000
Al  0.500  0.000  0.000
B  0.500  0.500  0.500

Output
- Symmetry: No. 221
- Calculated volume: 43.7 Å³/atom
- VASP energy: -0.04424 hartree per atom


No. 2
A relaxed structure of RbAlB3. Source: Alexandria via LeMat-Bulk, functional PBE-GGA.

Lattice parameters (Å, degrees): 4.854 4.854 4.854 90.00 90.00 90.00
Sites, in units of the cell vectors:
Rb  0.000  0.000  0.000
Al  0.500  0.500  0.500
B  0.000  0.000  0.500
B  0.000  0.500  0.000
B  0.500  0.000  0.000

Output
- Symmetry: No. 221
- Calculated volume: 22.9 Å³/atom
- VASP energy: -0.05753 hartree per atom


No. 3
A relaxed structure of Rb2AlB. Source: Alexandria via LeMat-Bulk, functional PBE-GGA.

Lattice parameters (Å, degrees): 5.810 5.810 5.810 60.00 60.00 60.00
Sites, in units of the cell vectors:
Rb  0.250  0.250  0.250
Rb  0.750  0.750  0.750
Al  0.000  0.000  0.000
B  0.500  0.500  0.500

Output
- Symmetry: No. 225
- Calculated volume: 34.7 Å³/atom
- VASP energy: -0.06276 hartree per atom


No. 4
A relaxed structure of Rb4Al2B. Source: Alexandria via LeMat-Bulk, functional PBE-GGA.

Lattice parameters (Å, degrees): 9.507 9.507 9.507 136.94 136.94 62.53
Sites, in units of the cell vectors:
Rb  0.000  0.500  0.500
Rb  0.194  0.194  0.000
Rb  0.500  0.000  0.500
Rb  0.806  0.806  0.000
Al  0.422  0.422  0.000
Al  0.578  0.578  0.000
B  0.000  0.000  0.000

Output
- Symmetry: No. 139
- Calculated volume: 56.5 Å³/atom
- VASP energy: -0.06300 hartree per atom